No. 1
# Mg2GeHAu GGA-PBE relaxed
data_Mg2GeHAu
_chemical_formula_sum 'Mg2 Ge1 H1 Au1'
_symmetry_space_group_name_H-M 'P 4/m m m'
_symmetry_Int_Tables_number 123
_symmetry_space_group_name_Hall '-P 4 2'
_cell_length_a 5.1604
_cell_length_b 5.1604
_cell_length_c 3.5438
_cell_angle_alpha 90.00
_cell_angle_beta 90.00
_cell_angle_gamma 90.00
loop_
_atom_site_label
_atom_site_fract_x
_atom_site_fract_y
_atom_site_fract_z
Mg1 0.0000 0.5000 0.0000
Ge1 0.0000 0.0000 0.0000
H1 0.0000 0.0000 0.5000
Au1 0.5000 0.5000 0.5000
# - crystal system = tetragonal
# - uncorrected energy (Ry/atom) = -0.208
# - density of states at the Fermi level (states/eV/cell) = 0.78

=====

No. 2
# NdGeHAu GGA-PBE relaxed
data_NdGeHAu
_chemical_formula_sum 'Nd1 Ge1 H1 Au1'
_symmetry_space_group_name_H-M 'P 3 m 1'
_symmetry_Int_Tables_number 156
_cell_length_a 4.4326
_cell_length_b 4.4326
_cell_length_c 4.1809
_cell_angle_alpha 90.00
_cell_angle_beta 90.00
_cell_angle_gamma 120.00
loop_
_symmetry_equiv_pos_as_xyz
'x,y,z'
'-y,x-y,z'
'-x+y,-x,z'
'-y,-x,z'
'-x+y,y,z'
'x,x-y,z'
loop_
_atom_site_label
_atom_site_fract_x
_atom_site_fract_y
_atom_site_fract_z
Nd1 0.0000 0.0000 0.0000
Ge1 0.6667 0.3333 0.5550
H1 0.3333 0.6667 0.0379
Au1 0.3333 0.6667 0.4704
# - crystal system = trigonal
# - uncorrected energy (Ry/atom) = -0.337
# - density of states at the Fermi level (states/eV/cell) = 1.42